No. 1
Entry from Alexandria via LeMat-Bulk: a PBEsol-optimized structure of KBaAg2 (meta-GGA SCAN).

Cell: 6.199 6.199 6.199 Å, 134.60 134.60 66.15°
Atoms (fractional coordinates):
K (0.000, 0.000, 0.000)
Ba (0.250, 0.750, 0.500)
Ag (0.500, 0.500, 0.000)
Ag (0.750, 0.250, 0.500)

Output
total magnetic moment = 0.000 Bohr magnetons per cell
total energy = -27.61 eV per atom
polymorph energy (0 for the lowest one) = 166 meV per atom
V = 119 Å³/f.u.

No. 2
Entry from Alexandria via LeMat-Bulk: a PBEsol-optimized structure of KBaAg4 (meta-GGA SCAN).

Cell: 5.874 5.874 5.874 Å, 60.00 60.00 60.00°
Atoms (fractional coordinates):
K (0.000, 0.000, 0.000)
Ba (0.750, 0.750, 0.750)
Ag (0.374, 0.374, 0.374)
Ag (0.374, 0.374, 0.878)
Ag (0.374, 0.878, 0.374)
Ag (0.878, 0.374, 0.374)

Output
total magnetic moment = 0.000 Bohr magnetons per cell
total energy = -28.94 eV per atom
V = 143 Å³/f.u.

No. 3
Entry from Alexandria via LeMat-Bulk: a PBEsol-optimized structure of KBa2Ag (meta-GGA SCAN).

Cell: 11.527 11.527 11.527 Å, 23.76 23.76 23.76°
Atoms (fractional coordinates):
K (0.000, 0.000, 0.000)
Ba (0.220, 0.220, 0.220)
Ba (0.780, 0.780, 0.780)
Ag (0.500, 0.500, 0.500)

Output
total magnetic moment = 0.000 Bohr magnetons per cell
total energy = -29.79 eV per atom
polymorph energy (0 for the lowest one) = 15 meV per atom
V = 218 Å³/f.u.

No. 4
Entry from Alexandria via LeMat-Bulk: a PBEsol-optimized structure of K2BaAg (meta-GGA SCAN).

Cell: 5.119 6.786 5.136 Å, 90.00 94.66 90.00°
Atoms (fractional coordinates):
K (0.214, 0.000, 0.285)
K (0.786, 0.000, 0.715)
Ba (0.500, 0.500, 0.000)
Ag (0.000, 0.500, 0.500)

Output
total magnetic moment = 0.062 Bohr magnetons per cell
total energy = -21.75 eV per atom
V = 178 Å³/f.u.

No. 5
Entry from Alexandria via LeMat-Bulk: a PBEsol-optimized structure of KBaAg2 (meta-GGA SCAN).

Cell: 4.734 4.734 6.686 Å, 90.00 90.00 90.00°
Atoms (fractional coordinates):
K (0.000, 0.000, 0.000)
Ba (0.500, 0.500, 0.500)
Ag (0.000, 0.000, 0.500)
Ag (0.500, 0.500, 0.000)

Output
total magnetic moment = 0.000 Bohr magnetons per cell
total energy = -27.62 eV per atom
polymorph energy (0 for the lowest one) = 159 meV per atom
V = 150 Å³/f.u.

No. 6
Entry from Alexandria via LeMat-Bulk: a PBEsol-optimized structure of KBaAg2 (meta-GGA SCAN).

Cell: 4.821 6.487 6.487 Å, 41.64 90.00 90.00°
Atoms (fractional coordinates):
K (0.000, 0.000, 0.000)
Ba (0.500, 0.715, 0.715)
Ag (0.000, 0.296, 0.296)
Ag (0.500, 0.416, 0.416)

Output
total magnetic moment = 0.000 Bohr magnetons per cell
total energy = -27.78 eV per atom
polymorph energy (0 for the lowest one) = 0 meV per atom
V = 135 Å³/f.u.

No. 7
Entry from Alexandria via LeMat-Bulk: a PBEsol-optimized structure of KBaAg2 (meta-GGA SCAN).

Cell: 5.630 5.630 5.630 Å, 60.00 60.00 60.00°
Atoms (fractional coordinates):
K (0.000, 0.000, 0.000)
Ba (0.500, 0.500, 0.500)
Ag (0.250, 0.250, 0.250)
Ag (0.750, 0.750, 0.750)

Output
total magnetic moment = 0.000 Bohr magnetons per cell
total energy = -27.72 eV per atom
polymorph energy (0 for the lowest one) = 58 meV per atom
V = 126 Å³/f.u.

No. 8
Entry from Alexandria via LeMat-Bulk: a PBEsol-optimized structure of KBa2Ag2 (meta-GGA SCAN).

Cell: 8.983 8.983 4.592 Å, 90.00 90.00 90.00°
Atoms (fractional coordinates):
K (0.000, 0.000, 0.000)
K (0.500, 0.500, 0.000)
Ba (0.166, 0.334, 0.500)
Ba (0.334, 0.834, 0.500)
Ba (0.666, 0.166, 0.500)
Ba (0.834, 0.666, 0.500)
Ag (0.115, 0.615, 0.000)
Ag (0.385, 0.115, 0.000)
Ag (0.615, 0.885, 0.000)
Ag (0.885, 0.385, 0.000)

Output
total magnetic moment = 0.000 Bohr magnetons per cell
total energy = -30.19 eV per atom
V = 185 Å³/f.u.

No. 9
Entry from Alexandria via LeMat-Bulk: a PBEsol-optimized structure of KBa2Ag (meta-GGA SCAN).

Cell: 4.085 4.085 11.066 Å, 90.00 90.00 90.00°
Atoms (fractional coordinates):
K (0.000, 0.000, 0.000)
Ba (0.500, 0.500, 0.329)
Ba (0.500, 0.500, 0.671)
Ag (0.000, 0.000, 0.500)

Output
total magnetic moment = 0.111 Bohr magnetons per cell
total energy = -29.80 eV per atom
polymorph energy (0 for the lowest one) = 0 meV per atom
V = 185 Å³/f.u.

No. 10
Entry from Alexandria via LeMat-Bulk: a PBEsol-optimized structure of Ba2LaAg (meta-GGA SCAN).

Cell: 3.951 3.951 10.108 Å, 90.00 90.00 90.00°
Atoms (fractional coordinates):
Ba (0.000, 0.000, 0.000)
Ba (0.500, 0.500, 0.349)
La (0.000, 0.000, 0.641)
Ag (0.500, 0.500, 0.791)

Output
total magnetic moment = 0.851 Bohr magnetons per cell
total energy = -38.47 eV per atom
V = 158 Å³/f.u.

No. 11
Entry from Alexandria via LeMat-Bulk: a PBEsol-optimized structure of BaLa2ZnAg (meta-GGA SCAN).

Cell: 5.861 5.861 5.360 Å, 90.00 90.00 90.00°
Atoms (fractional coordinates):
Ba (0.000, 0.000, 0.000)
La (0.000, 0.500, 0.000)
La (0.500, 0.000, 0.000)
Zn (0.500, 0.500, 0.500)
Ag (0.000, 0.000, 0.500)

Output
total magnetic moment = 0.826 Bohr magnetons per cell
total energy = -33.08 eV per atom
V = 184 Å³/f.u.

No. 12
Entry from Alexandria via LeMat-Bulk: a PBEsol-optimized structure of BaLiAg (meta-GGA SCAN).

Cell: 6.298 6.298 6.298 Å, 144.90 144.90 50.48°
Atoms (fractional coordinates):
Ba (0.000, 0.000, 0.000)
Li (0.278, 0.278, 0.000)
Ag (0.695, 0.695, 0.000)

Output
total magnetic moment = 0.026 Bohr magnetons per cell
total energy = -24.54 eV per atom
polymorph energy (0 for the lowest one) = 88 meV per atom
V = 82 Å³/f.u.

No. 13
Entry from Alexandria via LeMat-Bulk: a PBEsol-optimized structure of Ba2LiAg2 (meta-GGA SCAN).

Cell: 8.458 8.458 4.581 Å, 90.00 90.00 90.00°
Atoms (fractional coordinates):
Ba (0.176, 0.324, 0.000)
Ba (0.324, 0.824, 0.000)
Ba (0.676, 0.176, 0.000)
Ba (0.824, 0.676, 0.000)
Li (0.000, 0.000, 0.500)
Li (0.500, 0.500, 0.500)
Ag (0.119, 0.619, 0.500)
Ag (0.381, 0.119, 0.500)
Ag (0.619, 0.881, 0.500)
Ag (0.881, 0.381, 0.500)

Output
total magnetic moment = 0.064 Bohr magnetons per cell
total energy = -29.05 eV per atom
polymorph energy (0 for the lowest one) = 0 meV per atom
V = 164 Å³/f.u.

No. 14
Entry from Alexandria via LeMat-Bulk: a PBEsol-optimized structure of BaLiAg (meta-GGA SCAN).

Cell: 4.719 4.719 4.636 Å, 90.00 90.00 120.00°
Atoms (fractional coordinates):
Ba (0.000, 0.000, 0.000)
Li (0.333, 0.667, 0.500)
Ag (0.667, 0.333, 0.500)

Output
total magnetic moment = 0.000 Bohr magnetons per cell
total energy = -24.62 eV per atom
polymorph energy (0 for the lowest one) = 0 meV per atom
V = 89 Å³/f.u.

No. 15
Entry from Alexandria via LeMat-Bulk: a PBEsol-optimized structure of BaLi3Ag (meta-GGA SCAN).

Cell: 5.151 5.151 5.151 Å, 90.00 90.00 90.00°
Atoms (fractional coordinates):
Ba (0.000, 0.000, 0.000)
Li (0.000, 0.500, 0.500)
Li (0.500, 0.000, 0.500)
Li (0.500, 0.500, 0.000)
Ag (0.500, 0.500, 0.500)

Output
total magnetic moment = 0.000 Bohr magnetons per cell
total energy = -15.66 eV per atom
V = 137 Å³/f.u.